Entry from the Alexandria database: LiBH4 at its PBEsol-relaxed geometry (SCAN).

a b c (Å): 4.600 4.327 4.950
angles (deg): 90.00 94.54 90.00
Space group P2_1/m (No. 11)
Symmetry-distinct sites (fractional):
Li (0.239, 0.250, 0.065) x2
B (0.250, 0.750, 0.806) x2
H (0.097, 0.520, 0.756) x4
H (0.342, 0.750, 0.048) x2
H (0.445, 0.750, 0.652) x2

## Properties
Crystal system   monoclinic
Magnetic moment   0.0 μB/cell
E   -51.86 eV per cell